Record 1
The following is a DFT calculation (PBE) of ThNi9Sb2 after structural relaxation. Values from VASP.

Values from the calculation:
* raw total energy: -70.252 eV/cell
* magnetic moment: 0.5 μB/f.u.

The structure in Quantum ESPRESSO input format:
```
&SYSTEM
  ibrav = 0, nat = 12, ntyp = 3
/
ATOMIC_SPECIES
Th 232.04 Th.upf
Ni 58.69 Ni.upf
Sb 121.76 Sb.upf
ATOMIC_POSITIONS crystal
Th 0.0000 0.0000 0.0000
Ni 0.0827 0.5858 0.5858
Ni 0.3335 0.3335 0.3335
Ni 0.4142 0.4142 0.9173
Ni 0.4142 0.9173 0.4142
Ni 0.5000 0.5000 0.5000
Ni 0.5858 0.0827 0.5858
Ni 0.5858 0.5858 0.0827
Ni 0.6665 0.6665 0.6665
Ni 0.9173 0.4142 0.4142
Sb 0.1362 0.1362 0.1362
Sb 0.8638 0.8638 0.8638
CELL_PARAMETERS angstrom
2.4731 1.4278 8.0243
-2.4731 1.4278 8.0243
0.0000 -2.8557 8.0243
```

---

Record 2
The following is a DFT calculation (PBE) of La2P2Pd3 after structural relaxation. Values from VASP.

Values from the calculation:
* energy of formation: -6.82 eV per formula unit
* magnetic moment: 0.0 μB/f.u.

The structure in Quantum ESPRESSO input format:
```
&SYSTEM
  ibrav = 0, nat = 7, ntyp = 3
/
ATOMIC_SPECIES
La 138.91 La.upf
P 30.97 P.upf
Pd 106.42 Pd.upf
ATOMIC_POSITIONS crystal
La 0.1323 0.1323 0.2719
La 0.8677 0.8677 0.7281
P 0.1580 0.1580 0.7357
P 0.8420 0.8420 0.2643
Pd 0.3728 0.3728 0.0697
Pd 0.5000 0.5000 0.5000
Pd 0.6272 0.6272 0.9303
CELL_PARAMETERS angstrom
5.1430 -2.0982 0.0000
5.1430 2.0982 0.0000
-2.4902 0.0000 6.3881
```

---

Record 3
The following is a DFT calculation (PBE) of MnNbFeTc after structural relaxation. Values from VASP.

Values from the calculation:
* energy of formation: 0.06 eV per formula unit
* magnetic moment: 3.4 μB/f.u.

The structure in Quantum ESPRESSO input format:
```
&SYSTEM
  ibrav = 0, nat = 4, ntyp = 4
/
ATOMIC_SPECIES
Mn 54.94 Mn.upf
Nb 92.91 Nb.upf
Fe 55.84 Fe.upf
Tc 98.00 Tc.upf
ATOMIC_POSITIONS crystal
Mn 0.0000 0.0000 0.0000
Nb 0.5000 0.5000 0.5000
Fe 0.7500 0.7500 0.7500
Tc 0.2500 0.2500 0.2500
CELL_PARAMETERS angstrom
0.0000 3.0372 3.0372
3.0372 0.0000 3.0372
3.0372 3.0372 0.0000
```

---

Record 4
The following is a DFT calculation (PBE) of NbSBrCl2 after structural relaxation. Values from VASP.

Values from the calculation:
* energy above the lowest structure with this stoichiometry: 0 meV per atom
* magnetic moment: 0.0 μB/f.u.

The structure in Quantum ESPRESSO input format:
```
&SYSTEM
  ibrav = 0, nat = 5, ntyp = 4
/
ATOMIC_SPECIES
Nb 92.91 Nb.upf
S 32.06 S.upf
Br 79.90 Br.upf
Cl 35.45 Cl.upf
ATOMIC_POSITIONS crystal
Nb 0.0000 0.0000 0.0000
S 0.0000 0.0000 0.5000
Br 0.5000 0.5000 0.5000
Cl 0.0000 0.5000 0.0000
Cl 0.5000 0.0000 0.0000
CELL_PARAMETERS angstrom
4.9014 0.0000 0.0000
0.0000 4.9014 0.0000
0.0000 0.0000 4.8288
```